A plane-wave DFT calculation with GGA-PBE was carried out for a geometry-optimized Fe2H2Ru structure.

Unit cell a=2.6968 b=2.6968 c=11.5194 alpha=90.00 beta=90.00 gamma=90.00
Space group I4/mmm (No. 139)
Asymmetric unit:
Fe  0.0000  0.0000  0.1554 [4 per cell]
H  0.0000  0.5000  0.2500 [4 per cell]
Ru  0.0000  0.0000  0.5000 [2 per cell]

Calculated values
- electronic total energy (eV/atom) = -6.463
- V (A^3/atom) = 8.4
- density of states at the Fermi level (states/eV/cell) = 8.1
- E above lowest polymorph (meV per atom) = 42

***

A plane-wave DFT calculation with GGA-PBE was carried out for a geometry-optimized FeH3Ru structure.

Unit cell a=3.1994 b=3.1994 c=3.1994 alpha=90.00 beta=90.00 gamma=90.00
Space group Pm-3m (No. 221)
Asymmetric unit:
Fe  0.0000  0.0000  0.0000 [1 per cell]
H  0.0000  0.0000  0.5000 [3 per cell]
Ru  0.5000  0.5000  0.5000 [1 per cell]

Calculated values
- electronic total energy (eV/atom) = -5.201
- V (A^3/atom) = 6.6
- density of states at the Fermi level (states/eV/cell) = 3.0
- E above lowest polymorph (meV per atom) = 58

***

A plane-wave DFT calculation with GGA-PBE was carried out for a geometry-optimized FeH2Ru structure.

Unit cell a=5.0783 b=5.0783 c=5.0783 alpha=90.00 beta=90.00 gamma=90.00
Space group Fm-3m (No. 225)
Asymmetric unit:
Fe  0.0000  0.0000  0.0000 [4 per cell]
H  0.2500  0.2500  0.2500 [8 per cell]
Ru  0.0000  0.0000  0.5000 [4 per cell]

Calculated values
- electronic total energy (eV/atom) = -5.550
- V (A^3/atom) = 8.2
- density of states at the Fermi level (states/eV/cell) = 7.8
- E above lowest polymorph (meV per atom) = 493

***

A plane-wave DFT calculation with GGA-PBE was carried out for a geometry-optimized FeHRu3 structure.

Unit cell a=3.8332 b=3.8332 c=3.8332 alpha=90.00 beta=90.00 gamma=90.00
Space group Pm-3m (No. 221)
Asymmetric unit:
Fe  0.0000  0.0000  0.0000 [1 per cell]
H  0.5000  0.5000  0.5000 [1 per cell]
Ru  0.0000  0.5000  0.5000 [3 per cell]

Calculated values
- electronic total energy (eV/atom) = -7.765
- V (A^3/atom) = 11.3
- density of states at the Fermi level (states/eV/cell) = 3.6
- E above lowest polymorph (meV per atom) = 0

***

Question: Which value of electronic total energy does entry 4 give?
Answer: -7.765 eV/atom